# 1
MgBeSe2N, relaxed, DFT GGA-PBE; V = 20.5 A^3/atom; Fermi-level density of states = 0.78 states/eV per atom; uncorrected formation energy = 1.01 eV/atom; energy relative to the lowest polymorph listed for this composition = 0.932 eV per atom
1.0
-2.563 -4.395 -0.435
2.359 -0.937 -4.430
2.868 -1.863 1.922
Be Mg Se N
1 1 2 1
Cartesian
1.332 -3.597 -1.472
0.000 0.000 0.000
1.180 -0.469 -2.215
-1.281 -2.197 -0.218
1.434 -0.932 0.961

# 2
GaPO, relaxed, DFT GGA-PBE; V = 19.5 A^3/atom; Fermi-level density of states = 0.00 states/eV per atom; uncorrected formation energy = -1.00 eV/atom; energy relative to the lowest polymorph listed for this composition = 0.000 eV per atom
1.0
-0.379 -3.308 2.646
1.763 -1.936 -4.570
4.913 2.790 1.408
Ga P O
2 2 2
Cartesian
4.719 -2.368 -1.294
0.752 0.273 -0.008
3.059 -3.014 0.319
1.876 -1.474 1.385
1.900 -3.843 -0.345
4.153 -0.505 -1.190

# 3
AgSnPdRh, relaxed, DFT GGA-PBE; V = 16.8 A^3/atom; formation enthalpy at 0 K = -0.285 eV per atom; Fermi-level density of states = 0.76 states/eV per atom
1.0
-2.863 -1.665 3.134
0.569 -4.238 1.585
1.435 -0.661 4.278
Pd Rh Sn Ag
1 1 1 1
Cartesian
-0.645 -4.923 6.748
-0.215 -1.641 2.249
-0.430 -3.282 4.498
0.000 0.000 0.000

Question: Which value of V does entry 2 give?
Answer: 19.5 A^3/atom

Question: The lowest Fermi-level density of states belongs to which entry?
Answer: GaPO